Here is an optimized crystal structure of Cs2PaCr3O12 from Alexandria. Energies are from GGA+U.

Values from the calculation:
The calculation puts the total energy at -6.8051 eV per atom.

POSCAR file:
```
Cs2PaCr3O12
1.0
7.535 0.297 0.210
3.979 6.406 0.210
3.979 2.316 5.976
O Cs Cr Pa
12 2 3 1
Cartesian
3.426 1.994 3.929
7.161 6.761 2.048
10.004 8.197 5.814
6.078 6.131 4.348
9.416 2.888 2.048
12.068 7.025 2.467
8.333 2.257 4.348
3.426 4.368 0.583
8.333 4.850 0.693
5.490 0.822 0.583
12.068 4.651 5.814
7.161 4.168 5.704
5.960 3.469 2.460
9.534 5.550 3.936
1.990 3.203 0.105
3.768 0.148 0.105
1.990 1.158 2.988
0.000 0.000 0.000
```